{
  "formula": "Pr3Mg2W3",
  "functional": "PBE",
  "state": "relaxed",
  "lattice_angstrom": [[3.731, 0.000, 0.000], [0.000, 3.731, 0.000], [0.000, 0.000, 16.395]],
  "species": ["Pr", "Pr", "Pr", "Mg", "Mg", "W", "W", "W"],
  "fractional_positions": [[0.000, 0.000, 0.000], [0.000, 0.000, 0.184], [0.000, 0.000, 0.816], [0.000, 0.500, 0.641], [0.500, 0.000, 0.359], [0.000, 0.000, 0.500], [0.500, 0.500, 0.000], [0.500, 0.500, 0.500]],
  "rho_g_cm3": 7.441,
  "e_tot_ev_per_cell": -46.5,
  "m_tot_mub_per_cell": 0.180
}